# 1
Here is a relaxed NpCuTc crystal from the Alexandria database. Energies are from GGA-PBE.

The structure in extended XYZ format:
```
6
Lattice="0.102 3.121 -3.211 -2.884 0.390 3.412 3.596 2.690 2.730" Properties=species:S:1:pos:R:3 pbc="T T T"
Np 1.129 2.280 0.691
Cu 1.317 2.261 3.802
Cu -0.502 3.939 -0.872
Tc 2.876 3.590 2.020
Np -0.314 3.921 2.239
Tc -2.062 2.610 0.910
```

## Properties
E	-9.073	eV per atom
ΔH_f (0 K)	0.18	eV/f.u.

---

# 2
Here is a relaxed NpCuTc2 crystal from the Alexandria database. Energies are from GGA-PBE.

The structure in extended XYZ format:
```
4
Lattice="3.548 0.000 0.000 0.000 4.182 0.000 0.000 0.000 4.182" Properties=species:S:1:pos:R:3 pbc="T T T"
Tc 0.000 2.091 0.000
Np 1.774 2.091 2.091
Tc 0.000 0.000 2.091
Cu 1.774 0.000 0.000
```

## Properties
E	-9.356	eV per atom
ΔH_f (0 K)	0.35	eV/f.u.

---

# 3
Here is a relaxed ZrNpCuTc crystal from the Alexandria database. Energies are from GGA-PBE.

The structure in extended XYZ format:
```
4
Lattice="4.729 0.000 0.000 2.365 4.096 0.000 2.365 1.365 3.861" Properties=species:S:1:pos:R:3 pbc="T T T"
Tc 4.729 2.730 1.931
Cu 0.000 0.000 0.000
Np 2.365 1.365 0.965
Zr 7.094 4.096 2.896
```

## Properties
E	-8.882	eV per atom
ΔH_f (0 K)	0.42	eV/f.u.

---

# 4
Here is a relaxed Np2Tl3CuTe6 crystal from the Alexandria database. Energies are from GGA-PBE.

The structure in extended XYZ format:
```
12
Lattice="-6.175 -0.061 -4.299 0.179 -3.966 6.392 -0.900 7.817 3.390" Properties=species:S:1:pos:R:3 pbc="T T T"
Te -2.570 1.300 -0.551
Te -4.326 2.490 6.034
Tl -1.373 0.620 6.233
Tl -3.448 1.895 2.742
Te -6.367 3.745 2.599
Te -0.528 0.045 2.884
Te -4.659 -1.375 2.267
Np -1.946 -2.660 2.817
Cu 0.000 0.000 0.000
Te -2.236 5.166 3.216
Np -4.050 -1.367 -0.724
Tl -5.523 3.170 -0.750
```

## Properties
E	-5.043	eV per atom
uncorrected formation energy	-382	meV per atom

---

# 5
Here is a relaxed NpZn6Cu6 crystal from the Alexandria database. Energies are from GGA-PBE.

The structure in extended XYZ format:
```
13
Lattice="-4.149 -0.694 -2.573 0.376 -5.438 -3.865 -4.332 -3.871 3.303" Properties=species:S:1:pos:R:3 pbc="T T T"
Zn -2.697 -4.415 0.814
Cu -4.240 -2.283 0.365
Np 0.000 0.000 0.000
Cu 0.188 -2.719 -1.933
Cu -1.887 -3.066 -3.219
Zn -1.258 -4.894 -1.377
Zn -4.081 -3.710 -1.870
Zn -2.035 -2.105 -0.876
Zn -6.070 -7.899 -2.259
Zn -4.023 -6.294 -1.266
Cu -5.346 -4.571 0.401
Cu -2.759 -5.432 -3.537
Cu -2.166 -1.936 1.651
```

## Properties
E	-3.494	eV per atom
ΔH_f (0 K)	-0.26	eV/f.u.

---

# 6
Here is a relaxed Np2Zn15Cu2 crystal from the Alexandria database. Energies are from GGA-PBE.

The structure in extended XYZ format:
```
19
Lattice="-5.043 -1.384 -4.293 -4.380 -2.411 4.559 -3.515 5.707 0.925" Properties=species:S:1:pos:R:3 pbc="T T T"
Zn -7.043 -0.011 -1.702
Zn -6.715 -0.519 2.671
Np -8.552 1.264 0.787
Zn -6.224 2.431 -1.480
Zn -4.130 -0.056 3.505
Zn -2.190 -1.205 2.279
Zn -5.896 1.923 2.893
Zn -4.573 -2.113 1.991
Np -4.387 0.648 0.404
Cu -11.600 1.714 1.067
Zn -1.758 2.853 0.463
Zn -4.600 0.673 -2.779
Zn -2.522 -0.692 -2.147
Zn -3.766 3.352 1.979
Zn -6.651 -1.580 0.315
Zn -3.959 3.650 -0.589
Zn -4.851 -1.682 -1.725
Cu -1.340 0.198 0.123
Zn -6.288 3.492 0.876
```

## Properties
E	-2.839	eV per atom
ΔH_f (0 K)	-0.76	eV/f.u.

---

# 7
Here is a relaxed NpZn5Cu4 crystal from the Alexandria database. Energies are from GGA-PBE.

The structure in extended XYZ format:
```
10
Lattice="2.961 0.000 0.000 0.000 2.961 0.000 0.000 0.000 16.416" Properties=species:S:1:pos:R:3 pbc="T T T"
Zn 1.480 1.480 14.107
Np 0.000 0.000 0.000
Zn 1.480 1.480 5.258
Cu 0.000 0.000 12.639
Cu 0.000 0.000 3.776
Zn 1.480 1.480 2.309
Cu 0.000 0.000 6.740
Cu 0.000 0.000 9.676
Zn 1.480 1.480 11.158
Zn 1.480 1.480 8.208
```

## Properties
E	-3.604	eV per atom
ΔH_f (0 K)	-0.34	eV/f.u.

---

# 8
Here is a relaxed NpZn9Cu2 crystal from the Alexandria database. Energies are from GGA-PBE.

The structure in extended XYZ format:
```
12
Lattice="-0.695 -1.850 -1.926 -4.804 -4.335 5.896 -3.641 6.357 -4.791" Properties=species:S:1:pos:R:3 pbc="T T T"
Zn -4.937 -3.285 2.959
Cu -4.029 2.793 -1.229
Cu -4.416 -0.771 2.333
Zn -2.402 -2.167 2.948
Zn -1.821 3.178 -2.396
Zn -4.203 3.457 -3.781
Zn -6.560 -0.450 0.822
Np 0.000 0.000 0.000
Zn -4.222 1.011 0.552
Zn -6.345 1.524 -1.152
Zn -2.580 0.623 -1.644
Zn -2.795 -1.352 0.330
```

## Properties
E	-2.757	eV per atom
ΔH_f (0 K)	-0.49	eV/f.u.

---

# 9
Here is a relaxed Np2Zn12Cu5 crystal from the Alexandria database. Energies are from GGA-PBE.

The structure in extended XYZ format:
```
19
Lattice="-0.736 5.615 3.564 -3.050 -2.806 5.254 5.477 -0.748 3.771" Properties=species:S:1:pos:R:3 pbc="T T T"
Np 0.586 0.713 4.358
Zn 1.064 3.772 3.624
Zn 1.481 -1.522 6.407
Np 1.106 1.347 8.231
Cu -0.368 2.808 1.782
Zn 2.664 2.781 5.544
Zn -2.379 -0.367 4.764
Cu 1.511 1.841 11.248
Zn 0.210 3.583 6.182
Cu 0.180 0.219 1.341
Zn -1.693 1.729 6.301
Cu 2.738 -0.374 1.886
Zn 3.007 -1.345 4.201
Zn -0.972 -0.720 7.045
Zn 3.384 0.332 6.288
Zn -1.406 3.176 4.054
Zn -0.580 -2.210 4.824
Cu -1.525 -1.403 2.627
Zn 3.677 1.095 3.711
```

## Properties
E	-3.289	eV per atom
ΔH_f (0 K)	-0.85	eV/f.u.

---

# 10
Here is a relaxed NpZn8Cu4 crystal from the Alexandria database. Energies are from GGA-PBE.

The structure in extended XYZ format:
```
13
Lattice="-1.051 3.724 3.075 -5.246 -1.480 3.971 3.387 -0.557 5.805" Properties=species:S:1:pos:R:3 pbc="T T T"
Zn -1.578 -0.036 7.449
Cu 1.168 1.583 4.440
Zn -1.331 1.723 5.402
Np 0.000 0.000 0.000
Cu -3.148 1.122 3.523
Zn -2.247 -1.159 4.608
Zn -0.701 0.606 2.999
Cu 1.694 -0.279 2.902
Zn -3.889 0.583 5.909
Zn -2.208 1.081 9.852
Cu -2.623 -0.740 1.986
Zn 0.389 -0.878 5.168
Zn 0.980 1.104 6.942
```

## Properties
E	-3.090	eV per atom
ΔH_f (0 K)	-0.66	eV/f.u.

---

# 11
Here is a relaxed NpZnCu4 crystal from the Alexandria database. Energies are from GGA-PBE.

The structure in extended XYZ format:
```
6
Lattice="5.051 0.000 0.000 2.525 4.374 0.000 2.525 1.458 4.124" Properties=species:S:1:pos:R:3 pbc="T T T"
Cu 3.774 3.653 2.583
Np 2.525 1.458 1.031
Zn 0.000 0.000 0.000
Cu 5.051 2.916 0.498
Cu 6.327 3.653 2.583
Cu 5.051 1.442 2.583
```

## Properties
E	-5.011	eV per atom
ΔH_f (0 K)	0.53	eV/f.u.

---

# 12
Here is a relaxed CuO2 crystal from the Alexandria database. Energies are from GGA-PBE.

The structure in extended XYZ format:
```
6
Lattice="3.107 -0.004 -0.825 -0.150 9.895 -0.509 -0.838 -0.187 3.069" Properties=species:S:1:pos:R:3 pbc="T T T"
O 0.237 6.825 0.922
O 2.111 9.572 1.722
O 0.523 2.733 1.940
Cu 1.629 9.756 -0.053
O 0.128 5.671 0.495
Cu 1.843 2.736 0.645
```

## Properties
E	-4.900	eV per atom
uncorrected formation energy	-229	meV per atom